# 1
Here is a relaxed NaZnAu4 crystal from Alexandria via LeMat-Bulk. Energies are from PBE.

The space group is C2/m (No. 12) and the conventional cell measures 13.420, 6.684 and 5.800 Å, with angles of 90.00, 115.26 and 90.00 degrees. The inequivalent atoms are Na at (0.210, 0.000, 0.303), Zn at (0.036, 0.500, 0.324), Au at (0.000, 0.206, 0.000), Au at (0.115, 0.209, 0.678) and Au at (0.185, 0.500, 0.111).

The total moment comes out at 0.0 μB/cell. The calculated formation energy is -0.17 eV/atom. The total energy is -2.78 eV/atom. The value obtained for the density of states at the Fermi level is 0.169 states/eV/atom. Its relative energy among the computed polymorphs is 0.00 eV per formula unit.

# 2
Here is a relaxed Sm10Bi3Pb3 crystal from Alexandria via LeMat-Bulk. Energies are from PBE.

The space group is P-62m (No. 189) and the conventional cell measures 9.3429, 9.3429 and 6.6357 Å, with angles of 90.00, 90.00 and 120.00 degrees. The inequivalent atoms are Sm at (0.0000, 0.2414, 0.0000), Sm at (0.0000, 0.7587, 0.5000), Sm at (0.3333, 0.6667, 0.2491), Bi at (0.0000, 0.3909, 0.5000) and Pb at (0.0000, 0.6090, 0.0000).

The total moment comes out at 0.0 μB/cell. The calculated formation energy is -0.66 eV/atom. The total energy is -5.03 eV/atom. The value obtained for the density of states at the Fermi level is 0.779 states/eV/atom.